# 1
DFT (PBE) results for an optimized crystal structure of KVIr2Au.

abc: 5.0756 5.0756 4.7676
angles: 90.00 90.00 90.00
With the nearest neighbours (Å) after each atom.
Fractional coordinates of all 5 atoms:
K1 0.0000 0.0000 0.0000  8 Ir 3.48, 4 V 3.59
V1 0.5000 0.5000 0.0000  2 Au 2.38
Ir1 0.0000 0.5000 0.5000  2 Au 2.54
Ir2 0.5000 0.0000 0.5000  2 Au 2.54
Au1 0.5000 0.5000 0.5000  2 V 2.38, 4 Ir 2.54

## Properties
VASP energy   -4.57 eV/atom
Energy above the lowest structure with this stoichiometry   0.0 meV/atom
Space group   No. 123
Calculated formation energy   1676 meV/atom

# 2
DFT (PBE) results for an optimized crystal structure of KZn2IrAu.

abc: 5.2611 5.2611 4.8781
angles: 90.00 90.00 90.00
With the nearest neighbours (Å) after each atom.
Fractional coordinates of all 5 atoms:
K1 0.0000 0.0000 0.0000  2 Ir 2.44, 4 Zn 2.63
Zn1 0.0000 0.5000 0.0000  2 K 2.63
Zn2 0.5000 0.0000 0.0000  2 K 2.63
Ir1 0.0000 0.0000 0.5000  2 K 2.44
Au1 0.5000 0.5000 0.5000  8 Zn 3.59, 4 Ir 3.72

## Properties
VASP energy   -1.26 eV/atom
Space group   No. 123
Calculated formation energy   1900 meV/atom

# 3
DFT (PBE) results for an optimized crystal structure of La3IrAu.

abc: 5.9181 6.9856 8.2765
angles: 70.32 80.67 65.48
With the nearest neighbours (Å) after each atom.
Fractional coordinates of all 10 atoms:
La1 0.0485 0.1472 0.1433  3 Ir 2.95-3.16, 2 Au 3.16-3.27
La2 0.3317 0.2092 0.6729  1 Ir 2.85
La3 0.3812 0.4666 0.2298  2 Ir 2.82-2.88
La4 0.6188 0.5334 0.7702  2 Ir 2.82-2.88
La5 0.6683 0.7908 0.3271  1 Ir 2.85
La6 0.9515 0.8528 0.8567  3 Ir 2.95-3.16, 2 Au 3.16-3.27
Ir1 0.4218 0.8368 0.9712  5 La 2.82-3.03, 1 Ir 2.99
Ir2 0.5782 0.1632 0.0288  5 La 2.82-3.03, 1 Ir 2.99
Au1 0.1439 0.7467 0.5054  7 La 3.16-3.35, 1 Au 3.20
Au2 0.8561 0.2533 0.4946  7 La 3.16-3.35, 1 Au 3.20

## Properties
VASP energy   -6.04 eV/atom
Energy above the lowest structure with this stoichiometry   53.6 meV/atom
Space group   No. 2
Calculated formation energy   -660 meV/atom

# 4
DFT (PBE) results for an optimized crystal structure of La3IrAu.

abc: 5.5732 5.5732 5.5732
angles: 90.00 90.00 90.00
With the nearest neighbours (Å) after each atom.
Fractional coordinates of all 5 atoms:
La1 0.0000 0.0000 0.5000  2 Ir 2.79
La2 0.0000 0.5000 0.0000  2 Ir 2.79
La3 0.5000 0.0000 0.0000  2 Ir 2.79
Ir1 0.0000 0.0000 0.0000  6 La 2.79
Au1 0.5000 0.5000 0.5000  12 La 3.94

## Properties
VASP energy   -5.75 eV/atom
Energy above the lowest structure with this stoichiometry   346.8 meV/atom
Space group   No. 221
Calculated formation energy   -367 meV/atom

Question: Number 1 is which compound?
Answer: KVIr2Au

Question: What is the VASP energy in the first record?
Answer: -4.57 eV/atom

Question: Which value of VASP energy does entry 2 give?
Answer: -1.26 eV/atom

Question: Which of these has the lowest VASP energy?
Answer: number 3